Entry from the Alexandria database: an optimized crystal structure of DyCd5Ag7 (PBE).

Results
E_form in eV/f.u.: -0.700
Calculated density in Mg/m³: 9.174

Unit cell a=7.441 b=7.441 c=7.441 alpha=135.36 beta=98.16 gamma=98.42
Positions (direct):
Dy (0.000, 0.000, 0.000)
Cd (0.007, 0.012, 0.495)
Cd (0.007, 0.512, 0.995)
Cd (0.218, 0.718, 0.500)
Cd (0.516, 0.012, 0.005)
Cd (0.516, 0.512, 0.505)
Ag (0.227, 0.511, 0.716)
Ag (0.349, 0.349, 0.000)
Ag (0.360, 0.011, 0.349)
Ag (0.654, 0.654, 0.000)
Ag (0.662, 0.011, 0.651)
Ag (0.795, 0.511, 0.284)
Ag (0.806, 0.306, 0.500)

Entry from the Alexandria database: an optimized crystal structure of Y2BeNi (PBE).

Results
E_form in eV/f.u.: 0.498
Calculated density in Mg/m³: 5.150

Unit cell a=4.025 b=4.025 c=9.776 alpha=90.00 beta=90.00 gamma=90.00
Positions (direct):
Y (0.000, 0.000, 0.000)
Y (0.000, 0.500, 0.250)
Y (0.500, 0.000, 0.750)
Y (0.500, 0.500, 0.500)
Be (0.000, 0.500, 0.750)
Be (0.500, 0.000, 0.250)
Ni (0.000, 0.000, 0.500)
Ni (0.500, 0.500, 0.000)

Entry from the Alexandria database: an optimized crystal structure of EuAlHg (PBE).

Results
E_form in eV/f.u.: -1.172
Calculated density in Mg/m³: 8.310
Energy above the lowest structure with this stoichiometry in meV per atom: 0.0

Unit cell a=4.794 b=4.794 c=3.810 alpha=90.00 beta=90.00 gamma=120.00
Positions (direct):
Eu (0.000, 0.000, 0.000)
Al (0.333, 0.667, 0.500)
Hg (0.667, 0.333, 0.500)

Entry from the Alexandria database: an optimized crystal structure of Li2SiPb (PBE).

Results
Formation energy without anion corrections in eV per atom: 0.040
Calculated density in Mg/m³: 5.012
Energy above the lowest structure with this stoichiometry in meV per atom: 123.3

Unit cell a=6.912 b=6.912 c=6.912 alpha=90.00 beta=90.00 gamma=90.00
Positions (direct):
Li (0.000, 0.000, 0.000)
Li (0.000, 0.500, 0.500)
Li (0.250, 0.250, 0.250)
Li (0.250, 0.750, 0.750)
Li (0.500, 0.000, 0.500)
Li (0.500, 0.500, 0.000)
Li (0.750, 0.250, 0.750)
Li (0.750, 0.750, 0.250)
Si (0.250, 0.250, 0.750)
Si (0.250, 0.750, 0.250)
Si (0.750, 0.250, 0.250)
Si (0.750, 0.750, 0.750)
Pb (0.000, 0.000, 0.500)
Pb (0.000, 0.500, 0.000)
Pb (0.500, 0.000, 0.000)
Pb (0.500, 0.500, 0.500)